The following is a DFT calculation (PBE) of an optimized crystal structure of Na3TlGe.

## Properties
The total magnetization is 0.00 μB/f.u. The value obtained for the volume is 137 Å³/f.u. As for the polymorph energy (0 for the lowest one): 0 meV per atom.

a b c (Å): 4.8418 5.7583 10.8346
angles (deg): 92.78 90.00 114.86
Closest atoms and distances in Å follow each position.
Sites, in units of the cell vectors:
1 Na 0.8849 0.7697 0.6002  5 Ge 3.14-3.21, 3 Na 3.33-3.37
2 Na 0.4696 0.9392 0.1473  1 Ge 3.04, 3 Na 3.29-3.39, 3 Tl 3.33-3.34
3 Na 0.5304 0.0608 0.8527  1 Ge 3.04, 3 Na 3.29-3.39, 3 Tl 3.33-3.34
4 Na 0.7902 0.5804 0.2730  2 Ge 3.15, 4 Na 3.37-3.39
5 Na 0.1151 0.2303 0.3998  5 Ge 3.14-3.21, 3 Na 3.33-3.37
6 Na 0.2098 0.4196 0.7270  2 Ge 3.15, 4 Na 3.37-3.39
7 Tl 0.8401 0.6802 0.9465  3 Tl 3.31-3.48, 8 Na 3.33-3.61
8 Tl 0.1599 0.3198 0.0535  3 Tl 3.31-3.48, 8 Na 3.33-3.61
9 Ge 0.4164 0.8327 0.4203  1 Ge 2.39
10 Ge 0.5836 0.1673 0.5797  1 Ge 2.39

=====

The following is a DFT calculation (PBE) of an optimized crystal structure of Na3TlGe.

## Properties
The total magnetization is 0.00 μB/f.u. The value obtained for the volume is 142 Å³/f.u. As for the polymorph energy (0 for the lowest one): 49 meV per atom.

a b c (Å): 9.1462 8.1166 8.1166
angles (deg): 78.21 78.46 78.46
Closest atoms and distances in Å follow each position.
Sites, in units of the cell vectors:
1 Na 0.4700 0.9145 0.3163  2 Ge 3.11-3.43, 2 Tl 3.24-3.37, 2 Na 3.35-3.43
2 Na 0.0300 0.6837 0.0855  2 Ge 3.11-3.43, 2 Tl 3.24-3.37, 2 Na 3.35-3.43
3 Na 0.3796 0.3190 0.9914  2 Ge 2.99-3.06, 2 Na 3.24-3.33, 1 Tl 3.26
4 Na 0.6204 0.6810 0.0086  2 Ge 2.99-3.06, 2 Na 3.24-3.33, 1 Tl 3.26
5 Na 0.3916 0.6846 0.7179  1 Ge 3.02, 1 Tl 3.22, 2 Na 3.24-3.33
6 Na 0.1084 0.2821 0.3154  1 Ge 3.02, 1 Tl 3.22, 2 Na 3.24-3.33
7 Na 0.1204 0.0086 0.6810  2 Ge 2.99-3.06, 2 Na 3.24-3.33, 1 Tl 3.26
8 Na 0.9700 0.3163 0.9145  2 Ge 3.11-3.43, 2 Tl 3.24-3.37, 2 Na 3.35-3.43
9 Na 0.8916 0.7179 0.6846  1 Ge 3.02, 1 Tl 3.22, 2 Na 3.24-3.33
10 Na 0.8796 0.9914 0.3190  2 Ge 2.99-3.06, 2 Na 3.24-3.33, 1 Tl 3.26
11 Na 0.6084 0.3154 0.2821  1 Ge 3.02, 1 Tl 3.22, 2 Na 3.24-3.33
12 Na 0.5300 0.0855 0.6837  2 Ge 3.11-3.43, 2 Tl 3.24-3.37, 2 Na 3.35-3.43
13 Tl 0.7500 0.0360 0.9640  2 Ge 3.17, 4 Na 3.24-3.26
14 Tl 0.7500 0.5888 0.4112  2 Ge 3.02, 4 Na 3.22-3.37
15 Tl 0.2500 0.4112 0.5888  2 Ge 3.02, 4 Na 3.22-3.37
16 Tl 0.2500 0.9640 0.0360  2 Ge 3.17, 4 Na 3.24-3.26
17 Ge 0.8346 0.2245 0.5841  1 Ge 2.51
18 Ge 0.1654 0.7755 0.4159  1 Ge 2.51
19 Ge 0.6654 0.4159 0.7755  1 Ge 2.51
20 Ge 0.3346 0.5841 0.2245  1 Ge 2.51

=====

The following is a DFT calculation (PBE) of an optimized crystal structure of NaTl2Ge.

## Properties
The total magnetization is 0.00 μB/f.u. The value obtained for the volume is 113 Å³/f.u. The total energy is -2.49 eV/atom.

a b c (Å): 4.6590 4.6590 10.9587
angles (deg): 77.73 77.73 90.00
Closest atoms and distances in Å follow each position.
Sites, in units of the cell vectors:
1 Na 0.5000 0.5000 0.0000  4 Tl 3.10, 4 Ge 3.29
2 Na 0.2500 0.7500 0.5000  4 Tl 3.10, 4 Ge 3.29
3 Tl 0.6336 0.1250 0.2500  2 Ge 3.07, 2 Na 3.10, 4 Tl 3.24-3.35
4 Tl 0.1164 0.6250 0.2500  2 Ge 3.07, 2 Na 3.10, 4 Tl 3.24-3.35
5 Tl 0.8750 0.8836 0.7500  2 Ge 3.07, 2 Na 3.10, 4 Tl 3.24-3.35
6 Tl 0.3750 0.3664 0.7500  2 Ge 3.07, 2 Na 3.10, 4 Tl 3.24-3.35
7 Ge 0.7500 0.2500 0.5000  4 Tl 3.07, 4 Na 3.29
8 Ge 0.0000 0.0000 0.0000  4 Tl 3.07, 4 Na 3.29

=====

The following is a DFT calculation (PBE) of an optimized crystal structure of NaTl2Ge.

## Properties
The total magnetization is 0.00 μB/f.u. The value obtained for the volume is 116 Å³/f.u. The total energy is -2.62 eV/atom.

a b c (Å): 4.7692 4.7692 6.5189
angles (deg): 68.54 68.54 60.00
Closest atoms and distances in Å follow each position.
Sites, in units of the cell vectors:
1 Ge 0.6752 0.6752 0.9743  6 Tl 2.94-3.06, 1 Na 3.25
2 Tl 0.0664 0.0664 0.8008  3 Ge 2.94, 3 Na 3.20
3 Tl 0.2665 0.2665 0.2006  3 Ge 3.06, 3 Na 3.35
4 Na 0.4919 0.4919 0.5243  6 Tl 3.20-3.35, 1 Ge 3.25

=====

The following is a DFT calculation (PBE) of an optimized crystal structure of Na8Tl6Ge.

## Properties
The total magnetization is 0.00 μB/f.u. The value obtained for the volume is 474 Å³/f.u. The total energy is -2.01 eV/atom.

a b c (Å): 9.0765 9.0765 8.4611
angles (deg): 57.56 57.56 60.00
Closest atoms and distances in Å follow each position.
Sites, in units of the cell vectors:
1 Na 0.3354 0.3354 0.9937  6 Tl 3.27-3.35
2 Na 0.8952 0.5241 0.3500  5 Tl 3.26-3.36, 2 Na 3.62
3 Na 0.5241 0.2307 0.3500  5 Tl 3.26-3.36, 2 Na 3.62
4 Na 0.1048 0.4759 0.6500  5 Tl 3.26-3.36, 2 Na 3.62
5 Na 0.2307 0.8952 0.3500  5 Tl 3.26-3.36, 2 Na 3.62
6 Na 0.6646 0.6646 0.0063  6 Tl 3.27-3.35
7 Na 0.7693 0.1048 0.6500  5 Tl 3.26-3.36, 2 Na 3.62
8 Na 0.4759 0.7693 0.6500  5 Tl 3.26-3.36, 2 Na 3.62
9 Tl 0.6456 0.9454 0.1502  1 Ge 2.96, 2 Na 3.26-3.27
10 Tl 0.3544 0.0546 0.8498  1 Ge 2.96, 2 Na 3.26-3.27
11 Tl 0.0546 0.7412 0.8498  1 Ge 2.96, 2 Na 3.26-3.27
12 Tl 0.7412 0.3544 0.8498  1 Ge 2.96, 2 Na 3.26-3.27
13 Tl 0.9454 0.2588 0.1502  1 Ge 2.96, 2 Na 3.26-3.27
14 Tl 0.2588 0.6456 0.1502  1 Ge 2.96, 2 Na 3.26-3.27
15 Ge 0.0000 0.0000 0.0000  6 Tl 2.96

=====

The following is a DFT calculation (PBE) of an optimized crystal structure of NaTlGe3.

## Properties
The total magnetization is 0.00 μB/f.u. The value obtained for the volume is 163 Å³/f.u. As for the polymorph energy (0 for the lowest one): 0 meV per atom.

a b c (Å): 5.4664 5.4664 5.4664
angles (deg): 90.00 90.00 90.00
Closest atoms and distances in Å follow each position.
Sites, in units of the cell vectors:
1 Ge 0.0000 0.5000 0.0000  2 Tl 2.73
2 Ge 0.0000 0.0000 0.5000  2 Tl 2.73
3 Ge 0.5000 0.0000 0.0000  2 Tl 2.73
4 Na 0.5000 0.5000 0.5000  12 Ge 3.87
5 Tl 0.0000 0.0000 0.0000  6 Ge 2.73

=====

The following is a DFT calculation (PBE) of an optimized crystal structure of Na2TlGe.

## Properties
The total magnetization is 0.00 μB/f.u. The value obtained for the volume is 99 Å³/f.u. As for the polymorph energy (0 for the lowest one): 54 meV per atom.

a b c (Å): 5.1977 5.1977 5.1977
angles (deg): 60.00 60.00 60.00
Closest atoms and distances in Å follow each position.
Sites, in units of the cell vectors:
1 Na 0.7500 0.7500 0.7500  4 Tl 3.18, 4 Ge 3.18
2 Na 0.2500 0.2500 0.2500  4 Tl 3.18, 4 Ge 3.18
3 Tl 0.5000 0.5000 0.5000  8 Na 3.18
4 Ge 0.0000 0.0000 0.0000  8 Na 3.18

=====

The following is a DFT calculation (PBE) of an optimized crystal structure of Na2TlGe.

## Properties
The total magnetization is 0.00 μB/f.u. The value obtained for the volume is 109 Å³/f.u. As for the polymorph energy (0 for the lowest one): 23 meV per atom.

a b c (Å): 4.9288 6.1051 8.4173
angles (deg): 72.88 72.98 66.19
Closest atoms and distances in Å follow each position.
Sites, in units of the cell vectors:
1 Na 0.4088 0.4481 0.7343  2 Ge 3.06-3.32, 4 Tl 3.22-3.35, 2 Na 3.36
2 Na 0.2271 0.2305 0.3152  2 Ge 3.06-3.31, 4 Tl 3.23-3.35, 2 Na 3.37
3 Na 0.8176 0.3403 0.0244  2 Tl 3.20, 6 Ge 3.31-3.41, 4 Na 3.36-3.37
4 Na 0.8181 0.8394 0.5244  4 Tl 3.26-3.27, 4 Na 3.49-3.50
5 Tl 0.1161 0.0458 0.7220  3 Ge 2.98-3.23, 5 Na 3.20-3.32
6 Tl 0.5199 0.6321 0.3280  3 Ge 2.98-3.22, 5 Na 3.20-3.32
7 Ge 0.5274 0.9591 0.9861  2 Ge 2.81, 1 Tl 2.98, 1 Na 3.06
8 Ge 0.1071 0.7212 0.0647  2 Ge 2.81, 1 Tl 2.98, 1 Na 3.06

=====

The following is a DFT calculation (PBE) of an optimized crystal structure of NaTl2Ge2.

## Properties
The total magnetization is 0.00 μB/f.u. The value obtained for the volume is 136 Å³/f.u. As for the polymorph energy (0 for the lowest one): 0 meV per atom.

a b c (Å): 3.9027 3.9027 9.3346
angles (deg): 77.93 77.93 90.00
Closest atoms and distances in Å follow each position.
Sites, in units of the cell vectors:
1 Ge 0.7500 0.2500 0.5000  4 Ge 2.76
2 Ge 0.2500 0.7500 0.5000  4 Ge 2.76
3 Tl 0.3849 0.3849 0.2303  4 Ge 3.10, 4 Na 3.44
4 Tl 0.6151 0.6151 0.7697  4 Ge 3.10, 4 Na 3.44
5 Na 0.0000 0.0000 0.0000  8 Tl 3.44

=====

The following is a DFT calculation (PBE) of an optimized crystal structure of NaTl2Ge2.

## Properties
The total magnetization is 0.00 μB/f.u. The value obtained for the volume is 131 Å³/f.u. As for the polymorph energy (0 for the lowest one): 122 meV per atom.

a b c (Å): 8.5897 8.5897 3.5379
angles (deg): 90.00 90.00 90.00
Closest atoms and distances in Å follow each position.
Sites, in units of the cell vectors:
1 Ge 0.3531 0.1469 0.5000  6 Tl 3.05-3.09
2 Ge 0.8531 0.3531 0.5000  6 Tl 3.05-3.09
3 Ge 0.6469 0.8531 0.5000  6 Tl 3.05-3.09
4 Ge 0.1469 0.6469 0.5000  6 Tl 3.05-3.09
5 Na 0.5000 0.5000 0.0000  4 Tl 3.28, 2 Na 3.54
6 Na 0.0000 0.0000 0.0000  4 Tl 3.28, 2 Na 3.54
7 Tl 0.3519 0.8519 0.0000  6 Ge 3.05-3.09, 2 Na 3.28
8 Tl 0.6481 0.1481 0.0000  6 Ge 3.05-3.09, 2 Na 3.28
9 Tl 0.8519 0.6481 0.0000  6 Ge 3.05-3.09, 2 Na 3.28
10 Tl 0.1481 0.3519 0.0000  6 Ge 3.05-3.09, 2 Na 3.28

=====

The following is a DFT calculation (PBE) of an optimized crystal structure of NaTl2Ge.

## Properties
The total magnetization is 0.00 μB/f.u. The value obtained for the volume is 107 Å³/f.u. The total energy is -2.63 eV/atom.

a b c (Å): 3.7905 3.7905 7.4325
angles (deg): 90.00 90.00 90.00
Closest atoms and distances in Å follow each position.
Sites, in units of the cell vectors:
1 Ge 0.5000 0.5000 0.0000  8 Tl 3.16
2 Tl 0.0000 0.0000 0.2257  4 Ge 3.16, 1 Tl 3.36, 4 Na 3.37
3 Tl 0.0000 0.0000 0.7743  4 Ge 3.16, 1 Tl 3.36, 4 Na 3.37
4 Na 0.5000 0.5000 0.5000  8 Tl 3.37, 2 Ge 3.72

=====

The following is a DFT calculation (PBE) of an optimized crystal structure of Na5Tl6Ge.

## Properties
The total magnetization is 0.00 μB/f.u. The value obtained for the volume is 333 Å³/f.u. The total energy is -2.19 eV/atom.

a b c (Å): 5.1673 8.4777 8.0388
angles (deg): 90.00 71.25 90.00
Closest atoms and distances in Å follow each position.
Sites, in units of the cell vectors:
1 Tl 0.8428 0.7633 0.3145  1 Ge 3.12, 7 Na 3.27-3.45
2 Tl 0.5000 0.7548 0.0000  6 Na 3.24-3.37, 2 Ge 3.32, 4 Tl 3.52
3 Tl 0.8428 0.2367 0.3145  1 Ge 3.12, 7 Na 3.27-3.45
4 Tl 0.1572 0.2367 0.6855  1 Ge 3.12, 7 Na 3.27-3.45
5 Tl 0.5000 0.2452 0.0000  6 Na 3.24-3.37, 2 Ge 3.32, 4 Tl 3.52
6 Tl 0.1572 0.7633 0.6855  1 Ge 3.12, 7 Na 3.27-3.45
7 Na 0.3364 0.0000 0.3271  8 Tl 3.24-3.39, 2 Ge 3.59
8 Na 0.6636 0.0000 0.6729  8 Tl 3.24-3.39, 2 Ge 3.59
9 Na 0.6699 0.5000 0.6603  8 Tl 3.37-3.45, 4 Na 3.55-3.66
10 Na 0.0000 0.5000 0.0000  8 Tl 3.27-3.37, 4 Na 3.66
11 Na 0.3301 0.5000 0.3397  8 Tl 3.37-3.45, 4 Na 3.55-3.66
12 Ge 0.0000 0.0000 0.0000  8 Tl 3.12-3.32

=====

volume of number 8 (Na2TlGe)? 109 Å³/f.u.

=====

Which formula does entry 8 have? Na2TlGe

=====

Number 4 is which compound? NaTl2Ge

=====

Which value of volume does entry 8 give? 109 Å³/f.u.